# 1
BeTlMo2 PBE relaxed; raw total energy = -25.087 eV per cell; polymorph energy (0 for the lowest one) = 0.3046 eV per atom; theoretical density = 10.5 g/cm3; crystal system = cubic
1.0
0.000 3.181 3.181
3.181 0.000 3.181
3.181 3.181 0.000
Be Tl Mo
1 1 2
direct
0.000 0.000 0.000
0.750 0.750 0.750
0.250 0.250 0.250
0.500 0.500 0.500

=====

# 2
Mg2CdAs PBE relaxed; raw total energy = -9.675 eV per cell; polymorph energy (0 for the lowest one) = 0.0000 eV per atom; theoretical density = 4.1 g/cm3; crystal system = monoclinic
1.0
3.657 -2.017 0.000
3.657 2.017 0.000
-2.027 0.000 6.452
Mg Cd As
2 1 1
direct
0.226 0.226 0.192
0.774 0.774 0.808
0.000 0.000 0.500
0.500 0.500 0.000

=====

# 3
Li2DyErGe2 PBE relaxed; raw total energy = -26.337 eV per cell; theoretical density = 6.8 g/cm3; crystal system = trigonal
1.0
4.394 0.000 0.000
-2.197 3.805 0.000
0.000 0.000 7.122
Li Dy Er Ge
2 1 1 2
direct
0.333 0.667 0.242
0.667 0.333 0.758
0.000 0.000 0.500
0.000 0.000 0.000
0.333 0.667 0.753
0.667 0.333 0.247

=====

# 4
Co2Si2As PBE relaxed; raw total energy = -30.532 eV per cell; polymorph energy (0 for the lowest one) = 0.0472 eV per atom; theoretical density = 6.2 g/cm3; crystal system = tetragonal; raw formation energy = -165 meV/atom
1.0
-1.739 1.739 5.535
1.739 -1.739 5.535
1.739 1.739 -5.535
Co Si As
2 2 1
direct
0.117 0.117 0.000
0.883 0.883 0.000
0.250 0.750 0.500
0.750 0.250 0.500
0.500 0.500 0.000